No. 1
First-principles (PBE) data for crystalline SrDySi at its relaxed geometry, as listed in the Open Quantum Materials Database.

Unit cell a=5.0766 b=5.0766 c=5.0766 alpha=60.00 beta=60.00 gamma=60.00
Sites, in units of the cell vectors:
Sr  0.0000  0.0000  0.0000
Dy  0.5000  0.5000  0.5000
Si  0.7500  0.7500  0.7500

Results
- Magnetic moment: 0.000 μB/atom
- DFT total energy: -12.5 eV for the cell shown

No. 2
First-principles (PBE) data for crystalline DyTaSi at its relaxed geometry, as listed in the Open Quantum Materials Database.

Unit cell a=4.7663 b=4.7663 c=4.7663 alpha=60.00 beta=60.00 gamma=60.00
Sites, in units of the cell vectors:
Dy  0.0000  0.0000  0.0000
Ta  0.2500  0.2500  0.2500
Si  0.7500  0.7500  0.7500

Results
- Magnetic moment: 1.006 μB/atom
- DFT total energy: -18.3 eV for the cell shown

No. 3
First-principles (PBE) data for crystalline DyTaSi at its relaxed geometry, as listed in the Open Quantum Materials Database.

Unit cell a=4.5213 b=4.5213 c=4.5213 alpha=60.00 beta=60.00 gamma=60.00
Sites, in units of the cell vectors:
Dy  0.0000  0.0000  0.0000
Ta  0.5000  0.5000  0.5000
Si  0.2500  0.2500  0.2500

Results
- Magnetic moment: 0.116 μB/atom
- DFT total energy: -21.7 eV for the cell shown

No. 4
First-principles (PBE) data for crystalline TbDyTa2Si2 at its relaxed geometry, as listed in the Open Quantum Materials Database.

Unit cell a=4.0040 b=4.0040 c=7.7886 alpha=90.00 beta=90.00 gamma=90.00
Sites, in units of the cell vectors:
Tb  0.0000  0.0000  0.0000
Dy  0.5000  0.5000  0.7055
Ta  0.0000  0.5000  0.3536
Ta  0.5000  0.0000  0.3536
Si  0.0000  0.0000  0.5917
Si  0.5000  0.5000  0.1156

Results
- Magnetic moment: 0.170 μB/atom
- DFT total energy: -47.4 eV for the cell shown

No. 5
First-principles (PBE) data for crystalline DyTmTa2Si2 at its relaxed geometry, as listed in the Open Quantum Materials Database.

Unit cell a=3.9894 b=3.9894 c=7.6958 alpha=90.00 beta=90.00 gamma=90.00
Sites, in units of the cell vectors:
Dy  0.0000  0.0000  0.0000
Tm  0.5000  0.5000  0.2933
Ta  0.0000  0.5000  0.6443
Ta  0.5000  0.0000  0.6443
Si  0.0000  0.0000  0.4024
Si  0.5000  0.5000  0.8864

Results
- Magnetic moment: 0.159 μB/atom
- DFT total energy: -47.2 eV for the cell shown

No. 6
First-principles (PBE) data for crystalline DyYTa2Si2 at its relaxed geometry, as listed in the Open Quantum Materials Database.

Unit cell a=4.0017 b=4.0017 c=7.7695 alpha=90.00 beta=90.00 gamma=90.00
Sites, in units of the cell vectors:
Dy  0.0000  0.0000  0.0000
Y  0.5000  0.5000  0.2945
Ta  0.0000  0.5000  0.6481
Ta  0.5000  0.0000  0.6481
Si  0.0000  0.0000  0.4092
Si  0.5000  0.5000  0.8869

Results
- Magnetic moment: 0.170 μB/atom
- DFT total energy: -49.3 eV for the cell shown